## Tl6InHg3 (PBE)

Data for an optimized crystal structure of Tl6InHg3.

Unit cell a=5.5449 b=13.2099 c=11.2083 alpha=134.09 beta=90.00 gamma=90.00
Closest atoms and distances in Å follow each position.
Element x y z (fractional)
In1 0.7500 0.0551 0.6557  8 Tl 3.30-3.49
Tl1 0.7500 0.9431 0.8423  4 Hg 3.25-3.39, 1 In 3.30, 3 Tl 3.36-3.48
Hg1 0.7500 0.6486 0.4531  8 Tl 3.24-3.42
Tl2 0.7500 0.8490 0.0542  8 Tl 3.36-3.48
Tl3 0.7500 0.7488 0.2592  4 Hg 3.24-3.44, 3 In 3.33-3.45, 1 Tl 3.36
Tl4 0.7500 0.1566 0.4552  4 Hg 3.32-3.42, 3 In 3.32-3.49, 1 Tl 3.36
In2 0.2500 0.9449 0.3443  8 Tl 3.30-3.49
Tl5 0.2500 0.2512 0.7408  4 Hg 3.24-3.44, 3 In 3.33-3.45, 1 Tl 3.36
Hg2 0.7500 0.4562 0.8533  8 Tl 3.27-3.44
Tl6 0.2500 0.1510 0.9458  8 Tl 3.36-3.48
Tl7 0.2500 0.6415 0.9467  5 Hg 3.27-3.35, 1 In 3.33, 2 Tl 3.47
Tl8 0.2500 0.0569 0.1577  4 Hg 3.25-3.39, 1 In 3.30, 3 Tl 3.36-3.48
Hg3 0.2500 0.5438 0.1467  8 Tl 3.27-3.44
Hg4 0.2500 0.7563 0.7627  8 Tl 3.30-3.49
Tl9 0.2500 0.8434 0.5448  4 Hg 3.32-3.42, 3 In 3.32-3.49, 1 Tl 3.36
Hg5 0.2500 0.3514 0.5469  8 Tl 3.24-3.42
Tl10 0.2500 0.4571 0.3585  7 Hg 3.24-3.49, 1 Tl 3.42
Tl11 0.7500 0.3585 0.0533  5 Hg 3.27-3.35, 1 In 3.33, 2 Tl 3.47
Tl12 0.7500 0.5429 0.6415  7 Hg 3.24-3.49, 1 Tl 3.42
Hg6 0.7500 0.2437 0.2373  8 Tl 3.30-3.49

Properties
Calculated total energy = -1.77 eV per atom
E_form = 0.017 eV/atom
Size of the total moment = 0.00 μB/f.u.

## Hf2MgTi2 (PBE)

Data for an optimized crystal structure of Hf2MgTi2.

Unit cell a=7.8033 b=7.8033 c=3.4268 alpha=90.00 beta=90.00 gamma=90.00
Closest atoms and distances in Å follow each position.
Element x y z (fractional)
Hf1 0.6330 0.1330 0.0000  6 Ti 2.85-2.87, 1 Hf 2.94, 2 Mg 3.05
Ti1 0.1605 0.6605 0.5000  6 Hf 2.85-2.87
Ti2 0.8395 0.3395 0.5000  6 Hf 2.85-2.87
Hf2 0.1330 0.3670 0.0000  6 Ti 2.85-2.87, 1 Hf 2.94, 2 Mg 3.05
Mg1 0.5000 0.5000 0.0000  4 Hf 3.05, 8 Ti 3.39
Mg2 0.0000 0.0000 0.0000  4 Hf 3.05, 8 Ti 3.39
Ti3 0.3395 0.1605 0.5000  6 Hf 2.85-2.87
Ti4 0.6605 0.8395 0.5000  6 Hf 2.85-2.87
Hf3 0.3670 0.8670 0.0000  6 Ti 2.85-2.87, 1 Hf 2.94, 2 Mg 3.05
Hf4 0.8670 0.6330 0.0000  6 Ti 2.85-2.87, 1 Hf 2.94, 2 Mg 3.05

Properties
Calculated total energy = -7.20 eV per atom
E_form = 0.257 eV/atom
Offset from the most stable computed form = 199.4 meV per atom
Size of the total moment = 0.00 μB/f.u.

## PmNdThTc (PBE)

Data for an optimized crystal structure of PmNdThTc.

Unit cell a=4.6204 b=4.6204 c=7.1637 alpha=89.98 beta=108.81 gamma=120.05
Closest atoms and distances in Å follow each position.
Element x y z (fractional)
Pm1 0.9506 0.8404 0.7910  3 Th 3.38, 3 Nd 3.60, 3 Tc 3.69
Tc1 0.5400 0.6346 0.1746  3 Th 2.71
Nd1 0.3753 0.0520 0.4273  3 Tc 3.15, 3 Th 3.43
Th1 0.8262 0.2774 0.1036  3 Tc 2.71

Properties
Calculated total energy = -6.65 eV per atom
E_form = 0.177 eV/atom
Size of the total moment = 0.00 μB/f.u.

## GaTc3 (PBE)

Data for an optimized crystal structure of GaTc3.

Unit cell a=4.3528 b=4.3528 c=4.3528 alpha=60.00 beta=60.00 gamma=60.00
Closest atoms and distances in Å follow each position.
Element x y z (fractional)
Tc1 0.2500 0.2500 0.2500  4 Tc 2.67, 4 Ga 2.67
Tc2 0.0000 0.0000 0.0000  8 Tc 2.67
Tc3 0.7500 0.7500 0.7500  4 Tc 2.67, 4 Ga 2.67
Ga1 0.5000 0.5000 0.5000  8 Tc 2.67

Properties
Calculated total energy = -8.49 eV per atom
E_form = 0.041 eV/atom
Offset from the most stable computed form = 131.9 meV per atom
Size of the total moment = 0.00 μB/f.u.

## Fe3Ni2N (PBE)

Data for an optimized crystal structure of Fe3Ni2N.

Unit cell a=6.2318 b=6.2318 c=6.2318 alpha=90.00 beta=90.00 gamma=90.00
Closest atoms and distances in Å follow each position.
Element x y z (fractional)
Ni1 0.6846 0.6846 0.6846  3 Ni 2.33, 6 Fe 2.55-2.59
Fe1 0.8750 0.7029 0.0471  2 N 1.95
Fe2 0.9529 0.3750 0.7971  2 N 1.95
Fe3 0.0471 0.8750 0.7029  2 N 1.95
Ni2 0.9346 0.5654 0.4346  3 Ni 2.33, 6 Fe 2.55-2.59
Fe4 0.7971 0.9529 0.3750  2 N 1.95
N1 0.3750 0.3750 0.3750  6 Fe 1.95
Ni3 0.8154 0.3154 0.1846  3 Ni 2.33, 6 Fe 2.55-2.59
Fe5 0.2029 0.4529 0.1250  2 N 1.95
Fe6 0.1250 0.2029 0.4529  2 N 1.95
Fe7 0.5471 0.6250 0.2971  2 N 1.95
Fe8 0.7029 0.0471 0.8750  2 N 1.95
Fe9 0.3750 0.7971 0.9529  2 N 1.95
Fe10 0.2971 0.5471 0.6250  2 N 1.95
N2 0.8750 0.1250 0.6250  6 Fe 1.95
N3 0.6250 0.8750 0.1250  6 Fe 1.95
Ni4 0.0654 0.0654 0.0654  3 Ni 2.33, 6 Fe 2.55-2.59
Ni5 0.5654 0.4346 0.9346  3 Ni 2.33, 6 Fe 2.55-2.59
Ni6 0.3154 0.1846 0.8154  3 Ni 2.33, 6 Fe 2.55-2.59
Ni7 0.1846 0.8154 0.3154  3 Ni 2.33, 6 Fe 2.55-2.59
N4 0.1250 0.6250 0.8750  6 Fe 1.95
Ni8 0.4346 0.9346 0.5654  3 Ni 2.33, 6 Fe 2.55-2.59
Fe11 0.6250 0.2971 0.5471  2 N 1.95
Fe12 0.4529 0.1250 0.2029  2 N 1.95

Properties
Calculated total energy = -7.62 eV per atom
Uncorrected formation energy = -44 kJ/mol of formula units
Size of the total moment = 7.56 μB/f.u.

## BaTm3Fe (PBE)

Data for an optimized crystal structure of BaTm3Fe.

Unit cell a=5.3515 b=5.3515 c=5.3515 alpha=90.00 beta=90.00 gamma=90.00
Closest atoms and distances in Å follow each position.
Element x y z (fractional)
Tm1 0.0000 0.0000 0.5000  2 Fe 2.68
Fe1 0.0000 0.0000 0.0000  6 Tm 2.68
Tm2 0.5000 0.0000 0.0000  2 Fe 2.68
Tm3 0.0000 0.5000 0.0000  2 Fe 2.68
Ba1 0.5000 0.5000 0.5000  12 Tm 3.78

Properties
Calculated total energy = -4.66 eV per atom
E_form = 0.099 eV/atom
Size of the total moment = 0.00 μB/f.u.